An optimized crystal structure of Eu3Ga4Ni4. Source: the Alexandria database, functional GGA-PBEsol.

- Energy relative to the elements: -517.9 meV/atom
- Space-group type: I-43m (217)

Structure (POSCAR):
```
Eu3Ga4Ni4
1.0
-6.080 -1.574 -0.982
3.744 -3.650 -3.615
1.454 -0.884 6.125
Eu Ga Ni
3 4 4
direct
0.500 0.500 0.000
0.000 0.500 0.500
0.500 0.000 0.500
0.395 0.395 0.395
0.605 0.000 0.000
0.000 0.605 0.000
0.000 0.000 0.605
0.241 0.000 0.000
0.000 0.000 0.241
0.000 0.241 0.000
0.759 0.759 0.759
```

=====

An optimized crystal structure of Ag2HgMo. Source: the Alexandria database, functional GGA-PBEsol.

- Energy relative to the elements: 591.5 meV/atom
- Space-group type: F-43m (216)

Structure (POSCAR):
```
Ag2HgMo
1.0
4.605 0.000 0.000
2.303 3.988 0.000
2.303 1.329 3.760
Mo Ag Hg
1 2 1
direct
0.250 0.250 0.250
0.750 0.750 0.750
0.000 0.000 0.000
0.500 0.500 0.500
```

=====

An optimized crystal structure of KCaNdP2O8. Source: the Alexandria database, functional GGA-PBEsol.

- Energy relative to the elements, uncorrected: -2851.8 meV/atom
- Space-group type: P6_4 (172)

Structure (POSCAR):
```
KCaNdP2O8
1.0
-5.817 2.094 3.283
0.161 -6.219 -3.210
4.126 -5.466 10.796
O P Nd K Ca
24 6 3 3 3
direct
0.300 0.866 0.651
0.137 0.697 0.837
0.701 0.568 0.680
0.866 0.566 0.984
0.303 0.440 0.170
0.134 0.434 0.984
0.440 0.137 0.504
0.560 0.863 0.504
0.139 0.441 0.493
0.434 0.300 0.318
0.441 0.302 0.826
0.559 0.698 0.826
0.863 0.303 0.837
0.861 0.559 0.493
0.432 0.133 0.013
0.302 0.861 0.159
0.299 0.432 0.680
0.700 0.134 0.651
0.697 0.560 0.170
0.867 0.299 0.346
0.133 0.701 0.346
0.566 0.700 0.318
0.698 0.139 0.159
0.568 0.867 0.013
0.500 0.000 0.085
0.500 0.000 0.578
0.000 0.500 0.912
0.500 0.500 0.245
0.500 0.500 0.752
0.000 0.500 0.419
0.500 0.000 0.331
0.000 0.500 0.664
0.500 0.500 0.997
0.000 0.000 0.433
0.000 0.000 0.766
0.000 0.000 0.099
0.500 0.500 0.502
0.500 0.000 0.835
0.000 0.500 0.168
```

=====

Calculated size of the total moment (μB per formula unit), listed in the same order as above: 20.72, 1.82, 0.00